# PBE-GGA KAgGe, relaxed
# Symmetry = C2 (5)
# Total moment = 0.00 μB per cell
# Energy relative to the elements = -0.102 eV/atom
# E = -17.74 eV per cell
# Energy relative to the lowest polymorph listed for this composition = 0 meV per atom
data_KAgGe
_space_group_name_H-M_alt 'P 1'
_space_group_IT_number 1
_cell_length_a 4.684
_cell_length_b 4.684
_cell_length_c 8.236
_cell_angle_alpha 106.55
_cell_angle_beta 106.56
_cell_angle_gamma 90.00
loop_
_space_group_symop_operation_xyz
'x,y,z'
loop_
_atom_site_label
_atom_site_type_symbol
_atom_site_fract_x
_atom_site_fract_y
_atom_site_fract_z
Ge1 Ge 0.909 0.074 0.818
Ge2 Ge 0.091 0.257 0.182
Ag1 Ag 0.000 0.665 0.000
Ag2 Ag 0.500 0.163 0.000
K1 K 0.672 0.836 0.344
K2 K 0.328 0.492 0.656


# PBE-GGA BiPt2Rh, relaxed
# Symmetry = P4/mmm (123)
# Total moment = 0.00 μB per cell
# Energy relative to the elements = -0.046 eV/atom
# E = -23.50 eV per cell
data_BiPt2Rh
_space_group_name_H-M_alt 'P 1'
_space_group_IT_number 1
_cell_length_a 4.288
_cell_length_b 4.039
_cell_length_c 4.039
_cell_angle_alpha 90.00
_cell_angle_beta 90.00
_cell_angle_gamma 90.00
loop_
_space_group_symop_operation_xyz
'x,y,z'
loop_
_atom_site_label
_atom_site_type_symbol
_atom_site_fract_x
_atom_site_fract_y
_atom_site_fract_z
Pt1 Pt 0.000 0.000 0.500
Pt2 Pt 0.000 0.500 0.000
Bi1 Bi 0.500 0.500 0.500
Rh1 Rh 0.500 0.000 0.000


# PBE-GGA LiPm2ThSe4, relaxed
# Symmetry = P2/m (10)
# Total moment = 0.00 μB per cell
# E = -46.22 eV per cell
# Formation energy (no corrections) = -1.681 eV/atom
data_LiPm2ThSe4
_space_group_name_H-M_alt 'P 1'
_space_group_IT_number 1
_cell_length_a 4.148
_cell_length_b 7.217
_cell_length_c 7.173
_cell_angle_alpha 109.05
_cell_angle_beta 90.00
_cell_angle_gamma 90.00
loop_
_space_group_symop_operation_xyz
'x,y,z'
loop_
_atom_site_label
_atom_site_type_symbol
_atom_site_fract_x
_atom_site_fract_y
_atom_site_fract_z
Pm1 Pm 0.500 0.000 0.500
Pm2 Pm 0.000 0.500 0.500
Th1 Th 0.000 0.000 0.000
Li1 Li 0.500 0.500 0.000
Se1 Se 0.000 0.261 0.761
Se2 Se 0.000 0.739 0.239
Se3 Se 0.500 0.739 0.758
Se4 Se 0.500 0.261 0.242


# PBE-GGA MnInSe, relaxed
# Symmetry = P-6m2 (187)
# Total moment = 4.04 μB per cell
# E = -15.55 eV per cell
# Formation energy (no corrections) = -0.053 eV/atom
# Energy relative to the lowest polymorph listed for this composition = 29 meV per atom
data_MnInSe
_space_group_name_H-M_alt 'P 1'
_space_group_IT_number 1
_cell_length_a 4.314
_cell_length_b 4.314
_cell_length_c 4.398
_cell_angle_alpha 90.00
_cell_angle_beta 90.00
_cell_angle_gamma 120.00
loop_
_space_group_symop_operation_xyz
'x,y,z'
loop_
_atom_site_label
_atom_site_type_symbol
_atom_site_fract_x
_atom_site_fract_y
_atom_site_fract_z
In1 In 0.000 0.000 0.000
Se1 Se 0.667 0.333 0.500
Mn1 Mn 0.333 0.667 0.501